Arrangement 1

A plane-wave DFT calculation with PBE was carried out for an optimized crystal structure of Pm4ErTl.

The structure belongs to space group P4/mmm (No. 123); the cell edges are 4.133, 4.133 and 11.270 Å and the angles 90.00°, 90.00° and 90.00°. The asymmetric unit holds Pm at (0.000, 0.000, 0.148), Pm at (0.500, 0.500, 0.335), Er at (0.000, 0.000, 0.500) and Tl at (0.500, 0.500, 0.000).

For the density of states at the Fermi level, the calculation gives 10.639 states/eV/f.u. As for the crystal system: tetragonal. The mass density is 8.21 g/cm³.

=====

Arrangement 2

A plane-wave DFT calculation with PBE was carried out for an optimized crystal structure of Pm4ErTl.

The structure belongs to space group C2/c (No. 15); the cell edges are 8.897, 14.331 and 6.566 Å and the angles 90.00°, 109.54° and 90.00°. The asymmetric unit holds Pm at (0.097, 0.190, 0.044), Pm at (0.213, 0.380, 0.378), Er at (0.000, 0.411, 0.750) and Tl at (0.000, 0.000, 0.250).

For the density of states at the Fermi level, the calculation gives 7.796 states/eV/f.u. As for the crystal system: monoclinic. The mass density is 8.01 g/cm³.

=====

The most stable of them is arrangement 1.

=====

Arrangement 1

A plane-wave DFT calculation with PBE was carried out for an optimized crystal structure of Pm2Er8Tl.

The structure belongs to space group C2/m (No. 12); the cell edges are 17.964, 4.929 and 7.829 Å and the angles 90.00°, 105.28° and 90.00°. The asymmetric unit holds Pm at (0.222, 0.000, 0.135), Er at (0.044, 0.000, 0.222), Er at (0.089, 0.500, 0.945), Er at (0.134, 0.000, 0.675), Er at (0.181, 0.500, 0.409) and Tl at (0.000, 0.500, 0.500).

For the density of states at the Fermi level, the calculation gives 15.250 states/eV/f.u. As for the crystal system: monoclinic. The mass density is 9.10 g/cm³.

=====

Arrangement 2

A plane-wave DFT calculation with PBE was carried out for an optimized crystal structure of Pm2Er8Tl.

The structure belongs to space group P-1 (No. 2); the cell edges are 6.076, 6.079 and 9.246 Å and the angles 90.20°, 96.38° and 99.69°. The asymmetric unit holds Pm at (0.135, 0.279, 0.041), Er at (0.047, 0.095, 0.675), Er at (0.233, 0.462, 0.411), Er at (0.309, 0.640, 0.769), Er at (0.413, 0.820, 0.142) and Tl at (0.500, 0.000, 0.500).

For the density of states at the Fermi level, the calculation gives 15.612 states/eV/f.u. As for the crystal system: triclinic. The mass density is 9.10 g/cm³.

=====

The most stable of them is arrangement 1.

=====

Arrangement 1

A plane-wave DFT calculation with PBE was carried out for an optimized crystal structure of Pm4Er5Tl.

The structure belongs to space group P4/mmm (No. 123); the cell edges are 4.120, 4.120 and 18.404 Å and the angles 90.00°, 90.00° and 90.00°. The asymmetric unit holds Pm at (0.000, 0.000, 0.103), Pm at (0.000, 0.000, 0.304), Er at (0.500, 0.500, 0.000), Er at (0.500, 0.500, 0.207), Er at (0.500, 0.500, 0.412) and Tl at (0.000, 0.000, 0.500).

For the density of states at the Fermi level, the calculation gives 16.519 states/eV/f.u. As for the crystal system: tetragonal. The mass density is 8.61 g/cm³.

=====

Arrangement 2

A plane-wave DFT calculation with PBE was carried out for an optimized crystal structure of Pm4Er5Tl.

The structure belongs to space group I4mm (No. 107); the cell edges are 10.703, 10.703 and 5.794 Å and the angles 90.00°, 90.00° and 90.00°. The asymmetric unit holds Pm at (0.000, 0.314, 0.000), Er at (0.000, 0.000, 0.799), Er at (0.184, 0.184, 0.506) and Tl at (0.000, 0.000, 0.282).

For the density of states at the Fermi level, the calculation gives 14.597 states/eV/f.u. As for the crystal system: tetragonal. The mass density is 8.11 g/cm³.

=====

The most stable of them is arrangement 1.